Entry 1:
Here is NbHgF6 after structural relaxation from Alexandria. Energies are from GGA-PBE.

Results
For the formation energy without anion corrections, the calculation gives -2.47 eV/atom.

a b c (Å): 5.144 5.144 5.227
angles (deg): 81.68 81.68 93.32
Last column: magnetic moment on the atom in μB.
Fractional positions:
F 0.105 0.741 0.267  0.03
Hg 0.500 0.500 0.500  0.52
F 0.895 0.259 0.733  0.03
F 0.737 0.737 0.943  0.02
Nb 0.000 0.000 0.000  0.03
F 0.263 0.263 0.057  0.02
F 0.259 0.895 0.733  0.03
F 0.741 0.105 0.267  0.03

=====

Entry 2:
Here is LaIn2Ag2 after structural relaxation from Alexandria. Energies are from GGA-PBE.

Results
The calculation puts the energy above the most stable polymorph in this dataset at 0.034 eV/atom.

a b c (Å): 5.947 6.707 7.808
angles (deg): 74.65 67.73 63.16
Fractional positions:
Ag 0.583 0.183 0.946
In 0.681 0.346 0.191
La 0.146 0.253 0.751
Ag 0.289 0.685 0.444
In 0.220 0.153 0.310
In 0.319 0.654 0.809
Ag 0.417 0.817 0.054
La 0.854 0.747 0.249
Ag 0.711 0.315 0.556
In 0.780 0.847 0.690

=====

Entry 3:
Here is Tb2ErTm2 after structural relaxation from Alexandria. Energies are from GGA-PBE.

Results
The calculation puts the energy above the most stable polymorph in this dataset at 0.071 eV/atom.

a b c (Å): 9.158 9.158 3.698
angles (deg): 90.00 90.00 90.00
Fractional positions:
Tb 0.129 0.629 0.000
Tm 0.170 0.330 0.500
Tm 0.670 0.170 0.500
Tm 0.830 0.670 0.500
Tb 0.871 0.371 0.000
Tm 0.330 0.830 0.500
Tb 0.629 0.871 0.000
Tb 0.371 0.129 0.000
Er 0.000 0.000 0.000
Er 0.500 0.500 0.000

=====

Entry 4:
Here is Be3Rh2 after structural relaxation from Alexandria. Energies are from GGA-PBE.

Results
The calculation puts the energy above the most stable polymorph in this dataset at 0.370 eV/atom.

a b c (Å): 8.908 8.908 8.908
angles (deg): 17.70 17.70 17.70
Fractional positions:
Be 0.000 0.000 0.000
Rh 0.601 0.601 0.601
Rh 0.399 0.399 0.399
Be 0.203 0.203 0.203
Be 0.797 0.797 0.797

=====

Entry 5:
Here is ErU3In3Se8 after structural relaxation from Alexandria. Energies are from GGA-PBE.

Results
For the formation energy without anion corrections, the calculation gives -1.01 eV/atom.

a b c (Å): 8.233 8.232 9.150
angles (deg): 116.75 90.00 120.00
Last column: magnetic moment on the atom in μB.
Fractional positions:
Er 0.000 0.000 0.500  0.05
Se 0.263 0.028 0.294  -0.05
In 0.000 0.000 0.000  0.00
Se 0.765 0.028 0.294  -0.05
Se 0.235 0.469 0.706  -0.05
Se 0.737 0.474 0.710  -0.06
Se 0.263 0.526 0.290  -0.06
In 0.500 0.500 0.000  0.00
Se 0.235 0.972 0.706  -0.05
In 0.000 0.500 0.000  0.00
Se 0.737 0.972 0.706  -0.05
U 0.500 0.000 0.500  2.51
U 0.500 0.500 0.500  2.51
Se 0.765 0.531 0.294  -0.05
U 0.000 0.500 0.500  2.51

=====

Entry 6:
Here is TiAl2Cl8 after structural relaxation from Alexandria. Energies are from GGA-PBE.

Results
For the formation energy without anion corrections, the calculation gives -1.48 eV/atom. The calculation puts the energy above the most stable polymorph in this dataset at 0.000 eV/atom.

a b c (Å): 8.645 6.042 13.697
angles (deg): 85.69 90.00 90.00
Last column: magnetic moment on the atom in μB.
Fractional positions:
Cl 0.216 0.746 0.072  -0.01
Al 0.264 0.383 0.578  0.01
Cl 0.212 0.263 0.931  0.00
Ti 0.500 0.000 0.500  1.64
Al 0.236 0.383 0.078  0.01
Cl 0.033 0.227 0.149  0.00
Cl 0.284 0.746 0.572  -0.01
Cl 0.716 0.254 0.428  -0.01
Cl 0.946 0.708 0.353  0.00
Cl 0.054 0.292 0.647  0.00
Cl 0.967 0.773 0.851  0.00
Al 0.764 0.617 0.922  0.01
Cl 0.533 0.773 0.351  0.00
Cl 0.784 0.254 0.928  -0.01
Cl 0.712 0.737 0.569  0.00
Cl 0.288 0.263 0.431  0.00
Al 0.736 0.617 0.422  0.01
Cl 0.467 0.227 0.649  0.00
Cl 0.788 0.737 0.069  0.00
Cl 0.554 0.708 0.853  0.00
Ti 0.000 0.000 0.000  1.64
Cl 0.446 0.292 0.147  0.00